(1)
# LiNdO4

Crystalline LiNdO4 at its relaxed geometry (PBE, OQMD).

It has space group Cmmm (No. 65), with a = 5.975 Å, b = 6.131 Å, c = 4.094 Å, α = 90.00°, β = 90.00° and γ = 90.00°. The distinct sites, in fractional coordinates, are Li at (0.000, 0.000, 0.000), Nd at (0.000, 0.500, 0.500), O at (0.000, 0.113, 0.500) and O at (0.183, 0.500, 0.000).

---

(2)
# NaCuPb

Crystalline NaCuPb at its relaxed geometry (PBE, OQMD).

It has space group F-43m (No. 216), with a = 6.567 Å, b = 6.567 Å, c = 6.567 Å, α = 90.00°, β = 90.00° and γ = 90.00°. The distinct sites, in fractional coordinates, are Na at (0.000, 0.000, 0.000), Cu at (0.250, 0.250, 0.250) and Pb at (0.000, 0.000, 0.500).

---

(3)
# PuAlAs

Crystalline PuAlAs at its relaxed geometry (PBE, OQMD).

It has space group F-43m (No. 216), with a = 6.532 Å, b = 6.532 Å, c = 6.532 Å, α = 90.00°, β = 90.00° and γ = 90.00°. The distinct sites, in fractional coordinates, are Pu at (0.000, 0.000, 0.000), Al at (0.000, 0.000, 0.500) and As at (0.250, 0.250, 0.750).

---

(4)
# ErSiNO

Crystalline ErSiNO at its relaxed geometry (PBE, OQMD).

As for the energy above the most stable polymorph in this dataset: 0.00 eV per formula unit.

It has space group Pca2_1 (No. 29), with a = 6.493 Å, b = 6.990 Å, c = 4.870 Å, α = 90.00°, β = 90.00° and γ = 90.00°. The distinct sites, in fractional coordinates, are Er at (0.084, 0.169, 0.000), Si at (0.144, 0.690, 0.001), N at (0.063, 0.147, 0.502) and O at (0.097, 0.465, 0.018).

---

Record-wise E values, in eV per cell: -69.28 -33.26 -93.04 -119.88